Entry from Alexandria via LeMat-Bulk: LaMgFeNiO6 after structural relaxation (GGA+U).

- VASP energy: -126.5 eV per cell
- Theoretical density: 5636 kg/m³

abc: 5.307 5.447 9.285
angles: 90.00 124.84 90.00
Fractional coordinates of all 20 atoms:
La: 0.000 0.217 0.000
La: 0.000 0.783 0.500
Mg: 0.463 0.307 0.499
Mg: 0.463 0.693 0.999
Fe: 0.745 0.252 0.253
Fe: 0.745 0.748 0.753
Ni: 0.241 0.248 0.749
Ni: 0.241 0.752 0.249
O: 0.033 0.489 0.807
O: 0.033 0.511 0.307
O: 0.103 0.053 0.307
O: 0.103 0.947 0.807
O: 0.427 0.487 0.197
O: 0.427 0.513 0.697
O: 0.496 0.046 0.692
O: 0.496 0.954 0.192
O: 0.569 0.297 0.004
O: 0.569 0.703 0.504
O: 0.858 0.230 0.495
O: 0.858 0.770 0.995

Entry from Alexandria via LeMat-Bulk: La2MgFe2Te2O12 after structural relaxation (GGA+U).

- ΔE to the lowest computed polymorph: 9 meV per atom
- Theoretical density: 5374 kg/m³

abc: 5.452 5.452 10.336
angles: 90.00 90.00 120.00
Fractional coordinates of all 19 atoms:
La: 0.000 0.000 0.000
La: 0.000 0.000 0.475
Mg: 0.333 0.667 0.474
Fe: 0.333 0.667 0.218
Fe: 0.667 0.333 0.731
Te: 0.333 0.667 0.748
Te: 0.667 0.333 0.234
O: 0.009 0.374 0.840
O: 0.028 0.619 0.624
O: 0.056 0.369 0.352
O: 0.313 0.944 0.352
O: 0.366 0.991 0.840
O: 0.376 0.368 0.121
O: 0.381 0.409 0.624
O: 0.591 0.972 0.624
O: 0.626 0.634 0.840
O: 0.631 0.687 0.352
O: 0.632 0.009 0.121
O: 0.991 0.624 0.121

Entry from Alexandria via LeMat-Bulk: La2MgFe2Te2O12 after structural relaxation (GGA+U).

- ΔE to the lowest computed polymorph: 0 meV per atom
- Theoretical density: 5237 kg/m³

abc: 5.361 5.361 10.968
angles: 90.00 90.00 120.00
Fractional coordinates of all 19 atoms:
La: 0.000 0.000 0.215
La: 0.000 0.000 0.785
Mg: 0.000 0.000 0.500
Fe: 0.333 0.667 0.500
Fe: 0.667 0.333 0.000
Te: 0.333 0.667 0.000
Te: 0.667 0.333 0.500
O: 0.027 0.379 0.102
O: 0.027 0.648 0.898
O: 0.336 0.002 0.598
O: 0.336 0.333 0.402
O: 0.352 0.379 0.898
O: 0.352 0.973 0.102
O: 0.621 0.648 0.102
O: 0.621 0.973 0.898
O: 0.667 0.002 0.402
O: 0.667 0.664 0.598
O: 0.998 0.333 0.598
O: 0.998 0.664 0.402

Entry from Alexandria via LeMat-Bulk: LaMgFeWO6 after structural relaxation (GGA+U).

- VASP energy: -146.1 eV per cell
- Theoretical density: 6605 kg/m³

abc: 5.455 5.631 9.775
angles: 90.00 123.34 90.00
Fractional coordinates of all 20 atoms:
La: 0.000 0.200 0.000
La: 0.000 0.800 0.500
Mg: 0.561 0.319 0.556
Mg: 0.561 0.681 0.056
Fe: 0.749 0.246 0.256
Fe: 0.749 0.754 0.756
W: 0.242 0.252 0.749
W: 0.242 0.748 0.249
O: 0.144 0.042 0.315
O: 0.144 0.958 0.815
O: 0.368 0.482 0.176
O: 0.368 0.518 0.676
O: 0.502 0.059 0.692
O: 0.502 0.941 0.192
O: 0.570 0.327 0.985
O: 0.570 0.673 0.485
O: 0.874 0.205 0.513
O: 0.874 0.795 0.013
O: 0.962 0.438 0.784
O: 0.962 0.562 0.284